# 1
First-principles (PBE-GGA) data for crystalline HfPaB at its relaxed geometry, as listed in OQMD.

The structure belongs to space group F-43m (No. 216); the cell edges are 6.0747, 6.0747 and 6.0747 Å and the angles 90.00°, 90.00° and 90.00°. The distinct sites, in fractional coordinates, are Hf at (0.0000, 0.0000, 0.0000), Pa at (0.0000, 0.0000, 0.5000) and B at (0.2500, 0.2500, 0.2500).

Its magnetization is 0.037 μB per atom. For the total energy, the calculation gives -0.3147 Ha/atom. As for the crystal system: cubic. For the distance to the lowest polymorph of the same formula, the calculation gives 0 meV per atom.

# 2
First-principles (PBE-GGA) data for crystalline HgPd3 at its relaxed geometry, as listed in OQMD.

The structure belongs to space group P4/mmm (No. 123); the cell edges are 4.2341, 4.2341 and 3.6702 Å and the angles 90.00°, 90.00° and 90.00°. The distinct sites, in fractional coordinates, are Hg at (0.0000, 0.0000, 0.0000), Pd at (0.0000, 0.5000, 0.5000) and Pd at (0.5000, 0.5000, 0.0000).

For the total energy, the calculation gives -0.1493 Ha/atom. As for the crystal system: tetragonal.

# 3
First-principles (PBE-GGA) data for crystalline Pr2GdIn3AgIr2 at its relaxed geometry, as listed in OQMD.

The structure belongs to space group Amm2 (No. 38); the cell edges are 4.0781, 13.2779 and 7.7569 Å and the angles 90.00°, 90.00° and 90.00°. The distinct sites, in fractional coordinates, are Pr at (0.0000, 0.2074, 0.0000), Gd at (0.0000, 0.0000, 0.6230), In at (0.5000, 0.0000, 0.9439), In at (0.5000, 0.1298, 0.3396), Ag at (0.0000, 0.0000, 0.2107) and Ir at (0.5000, 0.1631, 0.7050).

Its magnetization is 0.000 μB per atom. For the total energy, the calculation gives -0.1964 Ha/atom. As for the crystal system: orthorhombic.

# 4
First-principles (PBE-GGA) data for crystalline Be2PdAu at its relaxed geometry, as listed in OQMD.

The structure belongs to space group F-43m (No. 216); the cell edges are 5.9670, 5.9670 and 5.9670 Å and the angles 90.00°, 90.00° and 90.00°. The distinct sites, in fractional coordinates, are Be at (0.0000, 0.0000, 0.0000), Be at (0.2500, 0.2500, 0.2500), Pd at (0.0000, 0.0000, 0.5000) and Au at (0.2500, 0.2500, 0.7500).

For the total energy, the calculation gives -0.1453 Ha/atom. As for the crystal system: cubic.

# 5
First-principles (PBE-GGA) data for crystalline BeInAg2 at its relaxed geometry, as listed in OQMD.

The structure belongs to space group F-43m (No. 216); the cell edges are 6.4409, 6.4409 and 6.4409 Å and the angles 90.00°, 90.00° and 90.00°. The distinct sites, in fractional coordinates, are Be at (0.0000, 0.0000, 0.0000), In at (0.2500, 0.2500, 0.2500), Ag at (0.0000, 0.0000, 0.5000) and Ag at (0.2500, 0.2500, 0.7500).

For the total energy, the calculation gives -0.1017 Ha/atom. As for the crystal system: cubic.

# 6
First-principles (PBE-GGA) data for crystalline BeAlCuHg at its relaxed geometry, as listed in OQMD.

The structure belongs to space group F-43m (No. 216); the cell edges are 6.1486, 6.1486 and 6.1486 Å and the angles 90.00°, 90.00° and 90.00°. The distinct sites, in fractional coordinates, are Be at (0.0000, 0.0000, 0.0000), Al at (0.0000, 0.0000, 0.5000), Cu at (0.2500, 0.2500, 0.7500) and Hg at (0.2500, 0.2500, 0.2500).

For the total energy, the calculation gives -0.0940 Ha/atom. As for the crystal system: cubic. For the distance to the lowest polymorph of the same formula, the calculation gives 0 meV per atom.